Here is a geometry-optimized AlCr2As structure from Alexandria. Energies are from GGA-PBE.

Lattice parameters (Å, degrees): 3.721 2.817 5.661 71.27 90.00 90.00
Sites, in units of the cell vectors:
Cr 0.000 0.891 0.994
Cr 0.000 0.609 0.506
As 0.500 0.750 0.750
Al 0.500 0.250 0.250

Computed properties:
Crystal system ... monoclinic

=====

Here is a geometry-optimized Ac5PuBi6 structure from Alexandria. Energies are from GGA-PBE.

Lattice parameters (Å, degrees): 8.367 8.367 8.375 99.61 99.61 120.00
Sites, in units of the cell vectors:
Bi 0.240 0.240 0.754
Bi 0.760 0.760 0.246
Bi 0.597 0.920 0.757
Bi 0.080 0.403 0.243
Bi 0.920 0.597 0.757
Bi 0.403 0.080 0.243
Ac 0.665 0.335 0.000
Ac 0.335 0.665 0.000
Ac 0.170 0.830 0.500
Ac 0.830 0.170 0.500
Ac 0.500 0.500 0.500
Pu 0.000 0.000 0.000

Computed properties:
Crystal system ... monoclinic

=====

Here is a geometry-optimized La2Al2Ga5 structure from Alexandria. Energies are from GGA-PBE.

Lattice parameters (Å, degrees): 4.421 4.421 10.005 90.00 90.00 90.00
Sites, in units of the cell vectors:
Ga 0.000 0.500 0.270
Ga 0.500 0.000 0.270
Ga 0.500 0.000 0.730
Ga 0.000 0.500 0.730
Ga 0.500 0.500 0.500
Al 0.500 0.500 0.126
Al 0.500 0.500 0.874
La 0.000 0.000 0.000
La 0.000 0.000 0.500

Computed properties:
Crystal system ... tetragonal

=====

Number 1: E_form 0.114 eV per atom, E -27.181 eV/cell. Number 2: E_form -0.870 eV per atom, E -68.604 eV/cell. Number 3: E_form -0.444 eV per atom, E -36.472 eV/cell.